The following is a DFT calculation (PBE) of an optimized crystal structure of Y2NbCl.

abc: 5.8802 5.8802 14.5026
angles: 90.00 90.00 90.00
With the nearest neighbours (Å) after each atom.
Space group I-42d (No. 122)
Symmetry-distinct sites (fractional):
Y  0.2402  0.2500  0.1250 [8 per cell]  2 Cl 2.73, 2 Nb 2.79
Nb  0.0000  0.0000  0.5000 [4 per cell]  4 Y 2.79
Cl  0.0000  0.0000  0.0000 [4 per cell]  4 Y 2.73

Summary:
Raw formation energy ... 0.48 eV/atom
ΔE to the lowest computed polymorph ... 240 meV/atom
DOS at the Fermi energy ... 1.2424 states/eV per atom

---

The following is a DFT calculation (PBE) of an optimized crystal structure of NbZn3Cl.

abc: 5.3176 5.3176 5.3176
angles: 90.00 90.00 90.00
With the nearest neighbours (Å) after each atom.
Space group Pm-3m (No. 221)
Symmetry-distinct sites (fractional):
Nb  0.0000  0.0000  0.0000 [1 per cell]  6 Zn 2.66
Zn  0.0000  0.0000  0.5000 [3 per cell]  2 Nb 2.66
Cl  0.5000  0.5000  0.5000 [1 per cell]  12 Zn 3.76

Summary:
Raw formation energy ... 0.85 eV/atom
ΔE to the lowest computed polymorph ... 0 meV/atom
DOS at the Fermi energy ... 0.7208 states/eV per atom

---

The following is a DFT calculation (PBE) of an optimized crystal structure of Nb2ZnCl.

abc: 3.9368 3.9368 19.3382
angles: 90.00 90.00 90.00
With the nearest neighbours (Å) after each atom.
Space group I-42d (No. 122)
Symmetry-distinct sites (fractional):
Nb  0.2436  0.2500  0.1250 [8 per cell]  4 Nb 2.75-2.82, 2 Zn 2.78, 2 Cl 2.80
Zn  0.0000  0.0000  0.0000 [4 per cell]  4 Nb 2.78, 4 Cl 2.78
Cl  0.0000  0.0000  0.5000 [4 per cell]  4 Zn 2.78, 4 Nb 2.80

Summary:
Raw formation energy ... 0.41 eV/atom
ΔE to the lowest computed polymorph ... 29 meV/atom
DOS at the Fermi energy ... 0.6442 states/eV per atom

---

The following is a DFT calculation (PBE) of an optimized crystal structure of NbZn3Cl.

abc: 4.7100 4.7100 4.7100
angles: 90.00 90.00 90.00
With the nearest neighbours (Å) after each atom.
Space group Pm-3m (No. 221)
Symmetry-distinct sites (fractional):
Nb  0.0000  0.0000  0.0000 [1 per cell]  12 Zn 3.33
Zn  0.0000  0.5000  0.5000 [3 per cell]  2 Cl 2.36
Cl  0.5000  0.5000  0.5000 [1 per cell]  6 Zn 2.36

Summary:
Raw formation energy ... 1.01 eV/atom
ΔE to the lowest computed polymorph ... 165 meV/atom
DOS at the Fermi energy ... 0.4268 states/eV per atom